# 1
Entry from the Alexandria database: crystalline MgZr2PbN at its relaxed geometry (PBE).

Cell: 4.5775 4.5775 4.3929 Å, 90.00 90.00 90.00°
Space group P4/mmm (No. 123)
Asymmetric unit:
Mg1 0.0000 0.0000 0.0000 (multiplicity 1)
Zr1 0.0000 0.5000 0.5000 (multiplicity 2)
Pb1 0.5000 0.5000 0.0000 (multiplicity 1)
N1 0.0000 0.0000 0.5000 (multiplicity 1)

Computed properties:
Distance to the lowest polymorph of the same formula = 0.0 meV per atom
Raw formation energy = -0.5691 eV per atom

---

# 2
Entry from the Alexandria database: crystalline Sr2ScMnBr at its relaxed geometry (PBE).

Cell: 5.9129 5.9129 5.0969 Å, 90.00 90.00 90.00°
Space group P4/mmm (No. 123)
Asymmetric unit:
Sr1 0.0000 0.5000 0.0000 (multiplicity 2)
Sc1 0.0000 0.0000 0.5000 (multiplicity 1)
Mn1 0.5000 0.5000 0.5000 (multiplicity 1)
Br1 0.0000 0.0000 0.0000 (multiplicity 1)

Computed properties:
Raw formation energy = 0.1604 eV per atom

---

# 3
Entry from the Alexandria database: crystalline TbSiNi3 at its relaxed geometry (PBE).

Cell: 4.8248 4.8248 14.8922 Å, 90.00 90.00 90.00°
Space group I-4m2 (No. 119)
Asymmetric unit:
Tb1 0.0000 0.0000 0.1367 (multiplicity 4)
Si1 0.0000 0.0000 0.5000 (multiplicity 2)
Si2 0.0000 0.5000 0.7500 (multiplicity 2)
Ni1 0.0000 0.2404 0.6284 (multiplicity 8)
Ni2 0.0000 0.5000 0.0189 (multiplicity 4)

Computed properties:
Distance to the lowest polymorph of the same formula = 170.7 meV per atom
Raw formation energy = -0.2539 eV per atom

---

# 4
Entry from the Alexandria database: crystalline ReAs2Pt at its relaxed geometry (PBE).

Cell: 3.2206 3.8352 5.2409 Å, 90.00 90.00 90.00°
Space group Pmm2 (No. 25)
Asymmetric unit:
Re1 0.0000 0.0000 0.0000 (multiplicity 1)
As1 0.0000 0.0000 0.5177 (multiplicity 1)
As2 0.5000 0.5000 0.1541 (multiplicity 1)
Pt1 0.5000 0.5000 0.6595 (multiplicity 1)

Computed properties:
Energy of formation from the pure elements = 113 meV/atom
Distance to the lowest polymorph of the same formula = 19.2 meV per atom

---

We obtain magnetization values of 0.00, 2.46, 0.00, 0.00 μB per formula unit for the records listed above, in that order.